## Al3CuSi (PBE)

Data for crystalline Al3CuSi at its relaxed geometry.

Values from the calculation:
Energy above the most stable polymorph in this dataset ... 0 meV per atom
Crystal system ... cubic

The structure in CIF format:
```
data_Al3CuSi
_symmetry_space_group_name_H-M 'P m -3 m'
_symmetry_Int_Tables_number 221
_symmetry_space_group_name_Hall '-P 4 2 3'
_cell_length_a 6.148
_cell_length_b 6.148
_cell_length_c 6.148
_cell_angle_alpha 90.00
_cell_angle_beta 90.00
_cell_angle_gamma 90.00
loop_
_atom_site_label
_atom_site_type_symbol
_atom_site_fract_x
_atom_site_fract_y
_atom_site_fract_z
Al1 Al 0.000 0.000 0.000
Al2 Al 0.269 0.269 0.269
Cu1 Cu 0.000 0.500 0.500
Si1 Si 0.000 0.000 0.500
```

## AlCu3Si2 (PBE)

Data for crystalline AlCu3Si2 at its relaxed geometry.

Values from the calculation:
Energy above the most stable polymorph in this dataset ... 0 meV per atom
Crystal system ... monoclinic

The structure in CIF format:
```
data_AlCu3Si2
_symmetry_space_group_name_H-M 'C 1 2/m 1'
_symmetry_Int_Tables_number 12
_cell_length_a 9.423
_cell_length_b 5.305
_cell_length_c 6.260
_cell_angle_alpha 90.00
_cell_angle_beta 90.56
_cell_angle_gamma 90.00
loop_
_symmetry_equiv_pos_as_xyz
'x,y,z'
'-x,-y,-z'
'-x,y,-z'
'x,-y,z'
'x+1/2,y+1/2,z'
'-x+1/2,-y+1/2,-z'
'-x+1/2,y+1/2,-z'
'x+1/2,-y+1/2,z'
loop_
_atom_site_label
_atom_site_type_symbol
_atom_site_fract_x
_atom_site_fract_y
_atom_site_fract_z
Al1 Al 0.169 0.000 0.145
Cu1 Cu 0.080 0.253 0.825
Cu2 Cu 0.166 0.500 0.176
Si1 Si 0.000 0.000 0.500
Si2 Si 0.000 0.500 0.500
Si3 Si 0.250 0.250 0.500
```

## Al3CuSi (PBE)

Data for crystalline Al3CuSi at its relaxed geometry.

Values from the calculation:
Energy above the most stable polymorph in this dataset ... 653 meV per atom
Crystal system ... cubic

The structure in CIF format:
```
data_Al3CuSi
_symmetry_space_group_name_H-M 'P m -3 m'
_symmetry_Int_Tables_number 221
_symmetry_space_group_name_Hall '-P 4 2 3'
_cell_length_a 4.750
_cell_length_b 4.750
_cell_length_c 4.750
_cell_angle_alpha 90.00
_cell_angle_beta 90.00
_cell_angle_gamma 90.00
loop_
_atom_site_label
_atom_site_type_symbol
_atom_site_fract_x
_atom_site_fract_y
_atom_site_fract_z
Al1 Al 0.000 0.000 0.500
Cu1 Cu 0.500 0.500 0.500
Si1 Si 0.000 0.000 0.000
```

## Al2Cu4Si (PBE)

Data for crystalline Al2Cu4Si at its relaxed geometry.

Values from the calculation:
Energy above the most stable polymorph in this dataset ... 144 meV per atom
Crystal system ... trigonal

The structure in CIF format:
```
data_Al2Cu4Si
_symmetry_space_group_name_H-M 'P -3 m 1'
_symmetry_Int_Tables_number 164
_symmetry_space_group_name_Hall '-P 3 2"'
_cell_length_a 2.7130
_cell_length_b 2.7130
_cell_length_c 15.0659
_cell_angle_alpha 90.00
_cell_angle_beta 90.00
_cell_angle_gamma 120.00
loop_
_atom_site_label
_atom_site_type_symbol
_atom_site_fract_x
_atom_site_fract_y
_atom_site_fract_z
Al1 Al 0.3333 0.6667 0.2033
Cu1 Cu 0.3333 0.6667 0.3696
Cu2 Cu 0.3333 0.6667 0.9326
Si1 Si 0.0000 0.0000 0.5000
```

## Al6CuSi (PBE)

Data for crystalline Al6CuSi at its relaxed geometry.

Values from the calculation:
Energy above the most stable polymorph in this dataset ... 103 meV per atom
Crystal system ... tetragonal

The structure in CIF format:
```
data_Al6CuSi
_symmetry_space_group_name_H-M 'P 4/m m m'
_symmetry_Int_Tables_number 123
_symmetry_space_group_name_Hall '-P 4 2'
_cell_length_a 3.997
_cell_length_b 3.997
_cell_length_c 9.280
_cell_angle_alpha 90.00
_cell_angle_beta 90.00
_cell_angle_gamma 90.00
loop_
_atom_site_label
_atom_site_type_symbol
_atom_site_fract_x
_atom_site_fract_y
_atom_site_fract_z
Al1 Al 0.000 0.000 0.133
Al2 Al 0.000 0.500 0.318
Cu1 Cu 0.500 0.500 0.000
Si1 Si 0.500 0.500 0.500
```

## Al3Cu2Si3 (PBE)

Data for crystalline Al3Cu2Si3 at its relaxed geometry.

Values from the calculation:
Energy above the most stable polymorph in this dataset ... 12 meV per atom
Crystal system ... triclinic

The structure in CIF format:
```
data_Al3Cu2Si3
_symmetry_space_group_name_H-M 'P -1'
_symmetry_Int_Tables_number 2
_cell_length_a 4.087
_cell_length_b 6.892
_cell_length_c 9.009
_cell_angle_alpha 92.37
_cell_angle_beta 95.75
_cell_angle_gamma 93.13
loop_
_symmetry_equiv_pos_as_xyz
'x,y,z'
'-x,-y,-z'
loop_
_atom_site_label
_atom_site_type_symbol
_atom_site_fract_x
_atom_site_fract_y
_atom_site_fract_z
Al1 Al 0.011 0.441 0.244
Al2 Al 0.074 0.838 0.074
Al3 Al 0.212 0.099 0.379
Cu1 Cu 0.241 0.407 0.529
Cu2 Cu 0.463 0.332 0.810
Si1 Si 0.270 0.746 0.423
Si2 Si 0.327 0.948 0.799
Si3 Si 0.453 0.333 0.080
```

| no. | formation energy (no corrections) (eV/atom) |
| --- | --- |
| 1 | 0.11 |
| 2 | 0.04 |
| 3 | 0.76 |
| 4 | 0.09 |
| 5 | 0.28 |
| 6 | 0.08 |